[1]
The following is a DFT calculation (GGA-PBEsol) of a geometry-optimized Al2Zn2Sn structure.

Cell: 3.981 3.981 6.412 Å, 108.09 108.09 90.00°
Atoms (fractional coordinates):
Zn: 0.395 0.395 0.791
Zn: 0.605 0.605 0.209
Sn: 0.000 0.000 0.000
Al: 0.250 0.750 0.500
Al: 0.750 0.250 0.500

Calculated values
The symmetry is I4/mmm (139). The formation energy comes out at 78 meV per atom. For the size of the total moment, the calculation gives 0.00 μB per cell.

=====

[2]
The following is a DFT calculation (GGA-PBEsol) of a geometry-optimized AlGaSbI2 structure.

Cell: 5.316 5.536 5.536 Å, 90.00 90.00 90.00°
Atoms (fractional coordinates):
I: 0.000 0.000 0.500
I: 0.000 0.500 0.000
Sb: 0.500 0.000 0.000
Al: 0.500 0.500 0.500
Ga: 0.000 0.000 0.000

Calculated values
The symmetry is P4/mmm (123). For the size of the total moment, the calculation gives 0.00 μB per cell. The uncorrected formation energy comes out at 0.34 eV per atom.

=====

[3]
The following is a DFT calculation (GGA-PBEsol) of a geometry-optimized SrRh2Br structure.

Cell: 3.177 4.817 5.714 Å, 114.85 106.02 90.26°
Atoms (fractional coordinates):
Sr: 0.500 0.000 0.000
Rh: 0.000 0.000 0.500
Rh: 0.500 0.500 0.500
Br: 0.000 0.500 0.000

Calculated values
The symmetry is C2/m (12). For the size of the total moment, the calculation gives 0.00 μB per cell. The uncorrected formation energy comes out at 0.11 eV per atom.

=====

[4]
The following is a DFT calculation (GGA-PBEsol) of a geometry-optimized BaMnGa3 structure.

Cell: 4.700 4.700 4.700 Å, 90.00 90.00 90.00°
Atoms (fractional coordinates):
Mn: 0.000 0.000 0.000
Ba: 0.500 0.500 0.500
Ga: 0.000 0.500 0.000
Ga: 0.000 0.000 0.500
Ga: 0.500 0.000 0.000

Calculated values
The symmetry is Pm-3m (221). The formation energy comes out at -348 meV per atom. For the size of the total moment, the calculation gives 0.00 μB per cell.

=====

[5]
The following is a DFT calculation (GGA-PBEsol) of a geometry-optimized Cd2BIr2 structure.

Cell: 4.652 5.706 5.706 Å, 90.00 90.00 90.00°
Atoms (fractional coordinates):
B: 0.000 0.000 0.000
B: 0.000 0.500 0.500
Ir: 0.000 0.338 0.838
Ir: 0.000 0.838 0.662
Ir: 0.000 0.662 0.162
Ir: 0.000 0.162 0.338
Cd: 0.500 0.167 0.667
Cd: 0.500 0.667 0.833
Cd: 0.500 0.833 0.333
Cd: 0.500 0.333 0.167

Calculated values
The symmetry is P4/mbm (127). The formation energy comes out at -43 meV per atom. For the size of the total moment, the calculation gives 0.00 μB per cell.

=====

[6]
The following is a DFT calculation (GGA-PBEsol) of a geometry-optimized Mn2V3Ag3O12 structure.

Cell: 10.652 10.652 10.652 Å, 109.47 109.47 109.47°
Atoms (fractional coordinates):
Mn: 0.000 0.000 0.000
Mn: 0.500 0.000 0.500
Mn: 0.000 0.500 0.500
Mn: 0.500 0.500 0.500
Mn: 0.500 0.500 0.000
Mn: 0.500 0.000 0.000
Mn: 0.000 0.500 0.000
Mn: 0.000 0.000 0.500
V: 0.750 0.125 0.375
V: 0.250 0.875 0.625
V: 0.250 0.375 0.125
V: 0.625 0.250 0.875
V: 0.375 0.750 0.125
V: 0.750 0.625 0.875
V: 0.875 0.750 0.625
V: 0.125 0.250 0.375
V: 0.375 0.625 0.750
V: 0.625 0.375 0.250
V: 0.125 0.875 0.250
V: 0.875 0.125 0.750
Ag: 0.750 0.875 0.125
Ag: 0.250 0.125 0.875
Ag: 0.250 0.625 0.375
Ag: 0.875 0.250 0.125
Ag: 0.625 0.750 0.375
Ag: 0.750 0.375 0.625
Ag: 0.125 0.750 0.875
Ag: 0.375 0.250 0.625
Ag: 0.625 0.875 0.750
Ag: 0.375 0.125 0.250
Ag: 0.875 0.625 0.250
Ag: 0.125 0.375 0.750
O: 0.506 0.811 0.903
O: 0.494 0.189 0.097
O: 0.409 0.603 0.597
O: 0.091 0.689 0.195
O: 0.695 0.091 0.189
O: 0.689 0.994 0.597
O: 0.591 0.397 0.403
O: 0.909 0.311 0.805
O: 0.305 0.909 0.811
O: 0.311 0.006 0.403
O: 0.994 0.897 0.305
O: 0.805 0.994 0.397
O: 0.897 0.091 0.903
O: 0.006 0.103 0.695
O: 0.195 0.006 0.603
O: 0.103 0.909 0.097
O: 0.403 0.506 0.311
O: 0.811 0.409 0.305
O: 0.597 0.494 0.689
O: 0.189 0.591 0.695
O: 0.097 0.409 0.103
O: 0.603 0.506 0.195
O: 0.903 0.591 0.897
O: 0.397 0.494 0.805
O: 0.603 0.097 0.909
O: 0.409 0.805 0.311
O: 0.397 0.903 0.091
O: 0.591 0.195 0.689
O: 0.897 0.805 0.494
O: 0.994 0.097 0.189
O: 0.103 0.195 0.506
O: 0.006 0.903 0.811
O: 0.689 0.695 0.591
O: 0.091 0.403 0.397
O: 0.311 0.305 0.409
O: 0.909 0.597 0.603
O: 0.811 0.403 0.006
O: 0.506 0.695 0.103
O: 0.189 0.597 0.994
O: 0.494 0.305 0.897
O: 0.695 0.603 0.006
O: 0.305 0.397 0.994
O: 0.805 0.811 0.909
O: 0.195 0.189 0.091
O: 0.097 0.689 0.494
O: 0.903 0.311 0.506
O: 0.403 0.897 0.591
O: 0.597 0.103 0.409

Calculated values
The symmetry is Ia-3d (230). For the size of the total moment, the calculation gives 32.00 μB per cell. The uncorrected formation energy comes out at -1.60 eV per atom.

=====

- Look up the size of the total moment of the second one.
  0.00 μB per cell